[1]
{"formula": "LiTlAs2", "functional": "PBE-GGA", "state": "optimized geometry", "e_form_ev_per_atom": -0.173, "energy_ev_per_cell": -14.3, "spacegroup": "P4/mmm, No. 123", "magnetic_moment_mub_per_fu": 0.00, "vol_a3_per_atom": 23.1, "lattice": [[3.781, 0.000, 0.000], [0.000, 3.781, 0.000], [0.000, 0.000, 6.455]], "species": ["Tl", "Li", "As", "As"], "fractional_positions": [[0.500, 0.500, 0.750], [0.500, 0.500, 0.250], [0.000, 0.000, 0.071], [0.000, 0.000, 0.429]]}

***

[2]
{"formula": "TbTmAs2O8", "functional": "PBE-GGA", "state": "optimized geometry", "energy_ev_per_cell": -86.4, "spacegroup": "I-4, No. 82", "magnetic_moment_mub_per_fu": 0.00, "formation_energy_uncorrected_mev_per_atom": -2362, "vol_a3_per_atom": 11.9, "lattice": [[5.031, 0.000, 0.000], [0.000, 5.031, 0.000], [-2.515, -2.515, 5.641]], "species": ["O", "O", "O", "O", "O", "Tm", "As", "As", "Tb", "O", "O", "O"], "fractional_positions": [[0.731, 0.832, 0.157], [0.425, 0.325, 0.157], [0.077, 0.978, 0.661], [0.584, 0.683, 0.661], [0.675, 0.269, 0.843], [0.000, 0.000, 0.000], [0.500, 0.500, 0.000], [0.250, 0.750, 0.500], [0.750, 0.250, 0.500], [0.022, 0.416, 0.339], [0.317, 0.923, 0.339], [0.168, 0.575, 0.843]]}

***

[3]
{"formula": "Ce3NdIn6", "functional": "PBE-GGA", "state": "optimized geometry", "e_form_ev_per_atom": 0.089, "energy_ev_per_cell": -38.1, "spacegroup": "R3m, No. 160", "magnetic_moment_mub_per_fu": 3.66, "vol_a3_per_atom": 37.5, "lattice": [[-0.786, 0.991, -3.063], [-4.329, -10.578, -1.117], [-6.199, 8.029, 5.386]], "species": ["In", "Nd", "Ce", "Ce", "In", "In", "Ce", "In", "In", "In"], "fractional_positions": [[0.383, 0.241, 0.000], [0.787, 0.000, 0.000], [0.962, 0.286, 0.286], [0.676, 0.714, 0.000], [0.142, 0.759, 0.759], [0.038, 0.000, 0.461], [0.676, 0.000, 0.714], [0.038, 0.461, 0.000], [0.577, 0.539, 0.539], [0.383, 0.000, 0.241]]}

***

[4]
{"formula": "Na2MgI2Br2", "functional": "PBE-GGA", "state": "optimized geometry", "energy_ev_per_cell": -19.6, "spacegroup": "P-1, No. 2", "magnetic_moment_mub_per_fu": 0.00, "formation_energy_uncorrected_mev_per_atom": -1272, "vol_a3_per_atom": 31.9, "lattice": [[4.165, 0.594, 0.356], [1.064, 7.646, 0.396], [3.137, 3.845, 7.557]], "species": ["I", "Br", "Na", "Br", "Mg", "Na", "I"], "fractional_positions": [[0.295, 0.206, 0.605], [0.635, 0.743, 0.995], [0.002, 0.428, 0.287], [0.365, 0.257, 0.005], [0.000, 0.000, 0.000], [0.998, 0.572, 0.713], [0.705, 0.794, 0.395]]}

***

[5]
{"formula": "La5Nd2Dy6", "functional": "PBE-GGA", "state": "optimized geometry", "e_form_ev_per_atom": 0.092, "energy_ev_per_cell": -121.2, "spacegroup": "Pbam, No. 55", "magnetic_moment_mub_per_fu": 0.00, "vol_a3_per_atom": 34.6, "lattice": [[3.647, 0.000, 0.000], [0.000, 11.815, 0.000], [0.000, 0.000, 20.877]], "species": ["La", "Nd", "Dy", "Dy", "Dy", "La", "Dy", "La", "Dy", "La", "La", "La", "Dy", "Dy", "Dy", "Nd", "La", "Nd", "Dy", "Nd", "La", "La", "Dy", "La", "Dy", "Dy"], "fractional_positions": [[0.500, 0.500, 0.000], [0.000, 0.321, 0.284], [0.000, 0.062, 0.077], [0.000, 0.074, 0.366], [0.500, 0.182, 0.633], [0.500, 0.077, 0.222], [0.000, 0.438, 0.577], [0.500, 0.701, 0.551], [0.500, 0.818, 0.367], [0.500, 0.577, 0.278], [0.500, 0.799, 0.051], [0.500, 0.000, 0.500], [0.000, 0.426, 0.866], [0.000, 0.562, 0.423], [0.500, 0.682, 0.867], [0.000, 0.821, 0.216], [0.500, 0.299, 0.449], [0.000, 0.679, 0.716], [0.000, 0.938, 0.923], [0.000, 0.179, 0.784], [0.500, 0.201, 0.949], [0.500, 0.423, 0.722], [0.000, 0.574, 0.134], [0.500, 0.923, 0.778], [0.500, 0.318, 0.133], [0.000, 0.926, 0.634]]}

***

[6]
{"formula": "Tl2HgSb2", "functional": "PBE-GGA", "state": "optimized geometry", "e_above_lowest_polymorph_mev_per_atom": 50, "energy_ev_per_cell": -25.9, "spacegroup": "P4/mbm, No. 127", "magnetic_moment_mub_per_fu": 0.00, "formation_energy_uncorrected_mev_per_atom": 64, "vol_a3_per_atom": 34.6, "lattice": [[-8.520, -5.535, -0.462], [5.379, -8.012, -3.211], [0.455, -0.965, 3.169]], "species": ["Sb", "Hg", "Sb", "Hg", "Sb", "Tl", "Tl", "Sb", "Tl", "Tl"], "fractional_positions": [[0.600, 0.900, 0.500], [0.500, 0.500, 0.000], [0.400, 0.100, 0.500], [0.000, 0.000, 0.000], [0.900, 0.400, 0.500], [0.817, 0.683, 0.000], [0.317, 0.817, 0.000], [0.100, 0.600, 0.500], [0.183, 0.317, 0.000], [0.683, 0.183, 0.000]]}